First-principles (PBE-GGA) data for a relaxed BaSrCa2Ga crystal, as listed in Alexandria via LeMat-Bulk.

E_form = -0.063 eV per atom

Unit cell a=6.0270 b=6.0270 c=6.3965 alpha=90.00 beta=90.00 gamma=90.00
Atoms (fractional coordinates):
Ba (0.0000, 0.0000, 0.0000)
Sr (0.5000, 0.5000, 0.0000)
Ca (0.0000, 0.5000, 0.5000)
Ca (0.5000, 0.0000, 0.5000)
Ga (0.0000, 0.0000, 0.5000)

First-principles (PBE-GGA) data for a relaxed BaSrCa2Ga crystal, as listed in Alexandria via LeMat-Bulk.

E_form = -0.110 eV per atom

Unit cell a=6.0008 b=6.0008 c=6.2732 alpha=90.00 beta=90.00 gamma=90.00
Atoms (fractional coordinates):
Ba (0.0000, 0.0000, 0.0000)
Sr (0.5000, 0.5000, 0.0000)
Ca (0.0000, 0.5000, 0.5000)
Ca (0.5000, 0.0000, 0.5000)
Ga (0.5000, 0.5000, 0.5000)

First-principles (PBE-GGA) data for a relaxed BaSr2CaGa crystal, as listed in Alexandria via LeMat-Bulk.

E_form = -0.016 eV per atom

Unit cell a=6.3377 b=6.3377 c=6.3656 alpha=90.00 beta=90.00 gamma=90.00
Atoms (fractional coordinates):
Ba (0.0000, 0.0000, 0.0000)
Sr (0.0000, 0.5000, 0.5000)
Sr (0.5000, 0.0000, 0.5000)
Ca (0.5000, 0.5000, 0.0000)
Ga (0.0000, 0.0000, 0.5000)

First-principles (PBE-GGA) data for a relaxed BaSrCaGa crystal, as listed in Alexandria via LeMat-Bulk.

E_form = -0.049 eV per atom

Unit cell a=6.0156 b=6.0156 c=6.0156 alpha=60.00 beta=60.00 gamma=60.00
Atoms (fractional coordinates):
Ba (0.0000, 0.0000, 0.0000)
Sr (0.5000, 0.5000, 0.5000)
Ca (0.2500, 0.2500, 0.2500)
Ga (0.7500, 0.7500, 0.7500)

First-principles (PBE-GGA) data for a relaxed BaCaTlGa crystal, as listed in Alexandria via LeMat-Bulk.

E_form = -0.358 eV per atom

Unit cell a=5.6842 b=5.6842 c=5.6842 alpha=60.00 beta=60.00 gamma=60.00
Atoms (fractional coordinates):
Ba (0.0000, 0.0000, 0.0000)
Ca (0.5000, 0.5000, 0.5000)
Tl (0.2500, 0.2500, 0.2500)
Ga (0.7500, 0.7500, 0.7500)

First-principles (PBE-GGA) data for a relaxed BaCaZn2Ga2 crystal, as listed in Alexandria via LeMat-Bulk.

E_form = -0.387 eV per atom

Unit cell a=4.6477 b=4.6477 c=7.9633 alpha=90.00 beta=90.00 gamma=120.00
Atoms (fractional coordinates):
Ba (0.0000, 0.0000, 0.0000)
Ca (0.0000, 0.0000, 0.5000)
Zn (0.3333, 0.6667, 0.6919)
Zn (0.6667, 0.3333, 0.3081)
Ga (0.3333, 0.6667, 0.3021)
Ga (0.6667, 0.3333, 0.6979)

The highest E_form belongs to which entry? BaSr2CaGa